# CaP2Ir | Alexandria | PBE | optimized geometry
data_CaP2Ir
_symmetry_space_group_name_H-M 'P 1 2/m 1'
_symmetry_Int_Tables_number 10
_cell_length_a 4.3206
_cell_length_b 3.8979
_cell_length_c 4.7208
_cell_angle_alpha 90.00
_cell_angle_beta 92.18
_cell_angle_gamma 90.00
loop_
_symmetry_equiv_pos_as_xyz
'x,y,z'
'-x,-y,-z'
'-x,y,-z'
'x,-y,z'
loop_
_atom_site_label
_atom_site_type_symbol
_atom_site_fract_x
_atom_site_fract_y
_atom_site_fract_z
Ca1 Ca 0.0000 0.0000 0.0000
P1 P 0.4627 0.5000 0.7723
Ir1 Ir 0.5000 0.0000 0.5000
# Uncorrected energy   -24.74 eV/cell
# Formation enthalpy at 0 K   -3.06 eV/f.u.
# Energy above the lowest structure with this stoichiometry   0.015 eV/atom